(1)
! KLi2Mg, relaxed, DFT PBE-GGA; values from VASP
! Formation enthalpy at 0 K in eV per atom: 0.139
! Symmetry: Pm
&SYSTEM
  ibrav = 0, nat = 4, ntyp = 3
/
ATOMIC_SPECIES
K 39.10 K.upf
Li 6.94 Li.upf
Mg 24.30 Mg.upf
ATOMIC_POSITIONS crystal
K 0.500 0.809 0.755
Li 0.000 0.153 0.066
Li 0.500 0.053 0.270
Mg 0.000 0.486 0.409
CELL_PARAMETERS angstrom
-0.709 -0.543 -5.051
-3.113 -0.980 0.542
-3.720 6.461 -0.173

(2)
! PtSeBr, relaxed, DFT PBE-GGA; values from VASP
! ΔE_f (raw) in eV/atom: 0.426
! Symmetry: F-43m
&SYSTEM
  ibrav = 0, nat = 3, ntyp = 3
/
ATOMIC_SPECIES
Br 79.90 Br.upf
Pt 195.08 Pt.upf
Se 78.96 Se.upf
ATOMIC_POSITIONS crystal
Br 0.500 0.500 0.500
Pt 0.750 0.750 0.750
Se 0.000 0.000 0.000
CELL_PARAMETERS angstrom
-1.596 -3.581 -2.341
2.842 -3.329 -1.299
-0.233 -4.105 1.986

Number 1: energy -1.491 eV per atom. Number 2: energy -3.307 eV per atom.